DFT (GGA-PBE) results for a relaxed structure of Li2HoAlO4.

Values from the calculation:
Formation energy from raw total energies, eV/f.u.: -21.19

Unit cell a=3.119 b=5.397 c=5.287 alpha=110.75 beta=90.00 gamma=90.00
Element x y z (fractional)
O1 0.000 0.783 0.223
Li1 0.000 0.500 0.500
Li2 0.500 0.000 0.500
O2 0.000 0.217 0.777
Al1 0.000 0.000 0.000
O3 0.500 0.220 0.226
Ho1 0.500 0.500 0.000
O4 0.500 0.780 0.774


DFT (GGA-PBE) results for a relaxed structure of ZnNiP.

Values from the calculation:
Formation energy, eV/atom: -0.110

Unit cell a=2.877 b=2.877 c=5.650 alpha=90.00 beta=90.00 gamma=120.00
Element x y z (fractional)
Zn1 0.333 0.667 0.679
Ni1 0.000 0.000 0.028
P1 0.667 0.333 0.294


DFT (GGA-PBE) results for a relaxed structure of Pm2Sm3Er5.

Values from the calculation:
ΔE to the lowest computed polymorph, meV per atom: 211
Formation energy, eV/atom: 0.399

Unit cell a=6.804 b=12.357 c=12.357 alpha=44.68 beta=74.02 gamma=74.02
Element x y z (fractional)
Sm1 0.870 0.878 0.383
Pm1 0.626 0.974 0.773
Sm2 0.750 0.000 0.000
Er1 0.375 0.712 0.537
Sm3 0.130 0.122 0.617
Er2 0.750 0.500 0.500
Er3 0.502 0.748 0.748
Pm2 0.374 0.026 0.227
Er4 0.250 0.500 0.500
Pm3 0.126 0.773 0.974
Er5 0.498 0.252 0.252
Er6 0.125 0.463 0.288
Pm4 0.874 0.227 0.026
Sm4 0.250 0.000 0.000
Er7 0.625 0.288 0.463
Er8 0.998 0.252 0.252
Er9 0.875 0.537 0.712
Sm5 0.630 0.617 0.122
Sm6 0.370 0.383 0.878
Er10 0.002 0.748 0.748


DFT (GGA-PBE) results for a relaxed structure of Sr2HfGePt.

Values from the calculation:
Formation energy, eV/atom: 0.860

Unit cell a=6.155 b=4.911 c=6.155 alpha=90.00 beta=90.00 gamma=90.00
Last column: magnetic moment on the atom in μB.
Element x y z (fractional)
Pt1 0.500 0.500 0.500  0.13
Sr1 0.500 0.000 0.000  0.06
Sr2 0.000 0.000 0.500  0.07
Ge1 0.000 0.500 0.000  0.01
Hf1 0.000 0.000 0.000  0.50


DFT (GGA-PBE) results for a relaxed structure of SrReAs2.

Values from the calculation:
ΔE to the lowest computed polymorph, meV per atom: 192
Formation energy, eV/atom: -0.076

Unit cell a=5.798 b=5.798 c=5.798 alpha=147.52 beta=116.70 gamma=72.97
Last column: magnetic moment on the atom in μB.
Element x y z (fractional)
Re1 0.750 0.250 0.500  0.41
As1 0.550 0.550 0.000  -0.01
Sr1 0.250 0.750 0.500  0.00
As2 0.950 0.950 0.000  -0.01


DFT (GGA-PBE) results for a relaxed structure of SrAs2SeN.

Values from the calculation:
Formation energy from raw total energies, eV/f.u.: 8.49
ΔE to the lowest computed polymorph, meV per atom: 1517

Unit cell a=5.885 b=5.885 c=5.763 alpha=90.00 beta=90.00 gamma=90.00
Last column: magnetic moment on the atom in μB.
Element x y z (fractional)
N1 0.500 0.500 0.500  1.89
As1 0.500 0.000 0.000  0.10
Sr1 0.000 0.000 0.000  0.01
As2 0.000 0.500 0.000  0.10
Se1 0.000 0.000 0.500  -0.05


DFT (GGA-PBE) results for a relaxed structure of CsP2H2.

Values from the calculation:
ΔE to the lowest computed polymorph, meV per atom: 879

Unit cell a=8.351 b=8.351 c=3.268 alpha=90.00 beta=90.00 gamma=90.00
Element x y z (fractional)
Cs1 0.500 0.500 0.000
P1 0.588 0.088 0.000
P2 0.088 0.412 0.000
P3 0.912 0.588 0.000
H1 0.574 0.926 0.500
H2 0.926 0.426 0.500
Cs2 0.000 0.000 0.000
H3 0.074 0.574 0.500
P4 0.412 0.912 0.000
H4 0.426 0.074 0.500


DFT (GGA-PBE) results for a relaxed structure of HfNpTc4.

Values from the calculation:
Formation energy, eV/atom: -0.002

Unit cell a=5.311 b=5.311 c=5.311 alpha=60.00 beta=60.00 gamma=60.00
Last column: magnetic moment on the atom in μB.
Element x y z (fractional)
Tc1 0.124 0.625 0.625  -0.02
Np1 0.250 0.250 0.250  3.37
Tc2 0.625 0.124 0.625  -0.02
Tc3 0.625 0.625 0.625  -0.02
Hf1 0.000 0.000 0.000  0.05
Tc4 0.625 0.625 0.124  -0.02


Here are the calculated V numbers, same order: 83.2 40.5 697.4 186.1 92.0 199.6 227.9 105.9 (Å³ per cell).
Here are the calculated DOS at the Fermi energy numbers, same order: 0.0000 0.4091 1.5596 1.1106 0.3972 1.2232 0.4144 2.5927 (states/eV/atom).